SnBP3, optimized geometry, DFT GGA-PBE; ΔE to the lowest computed polymorph = 0.000 eV/atom; DFT total energy = -4.652 eV per atom; space-group type = Pm-3m; formation enthalpy at 0 K = 3.6 eV per formula unit
1.0
4.2823 0.0000 0.0000
0.0000 4.2823 0.0000
0.0000 0.0000 4.2823
P B Sn
3 1 1
direct
0.0000 0.5000 0.0000
0.0000 0.0000 0.5000
0.5000 0.0000 0.0000
0.0000 0.0000 0.0000
0.5000 0.5000 0.5000